No. 1
## MgCd5 (GGA-PBEsol)

Data for an optimized crystal structure of MgCd5.

Computed properties:
Space group = P-62m (189)
Crystal system = hexagonal
E_form = -0.048 eV/atom
DOS at the Fermi energy = 1.8 states/eV/f.u.

Lattice parameters (Å, degrees): 5.295 5.295 5.093 90.00 90.00 120.00
Sites, in units of the cell vectors:
Mg  0.000  0.000  0.000
Cd  0.000  0.665  0.500
Cd  0.333  0.667  0.000
Cd  0.335  0.335  0.500
Cd  0.665  0.000  0.500
Cd  0.667  0.333  0.000

***

No. 2
## MgCd5 (GGA-PBEsol)

Data for an optimized crystal structure of MgCd5.

Computed properties:
Space group = Cm (8)
Crystal system = monoclinic
E_form = -0.040 eV/atom
DOS at the Fermi energy = 1.9 states/eV/f.u.

Lattice parameters (Å, degrees): 5.910 5.910 7.309 106.48 106.48 30.79
Sites, in units of the cell vectors:
Mg  0.000  0.000  0.000
Cd  0.278  0.278  0.056
Cd  0.335  0.335  0.671
Cd  0.609  0.609  0.725
Cd  0.669  0.669  0.337
Cd  0.946  0.946  0.386

***

No. 3
## MgCd (GGA-PBEsol)

Data for an optimized crystal structure of MgCd.

Computed properties:
Space group = Pmma (51)
Crystal system = orthorhombic
E_form = -0.125 eV/atom
DOS at the Fermi energy = 0.7 states/eV/f.u.

Lattice parameters (Å, degrees): 4.996 3.144 5.234 90.00 90.00 90.00
Sites, in units of the cell vectors:
Mg  0.250  0.000  0.183
Mg  0.750  0.000  0.817
Cd  0.250  0.500  0.679
Cd  0.750  0.500  0.321

***

No. 4
## MgCd (GGA-PBEsol)

Data for an optimized crystal structure of MgCd.

Computed properties:
Space group = P2_13 (198)
Crystal system = cubic
E_form = -0.074 eV/atom
DOS at the Fermi energy = 0.6 states/eV/f.u.

Lattice parameters (Å, degrees): 5.543 5.543 5.543 90.00 90.00 90.00
Sites, in units of the cell vectors:
Mg  0.100  0.100  0.100
Mg  0.400  0.900  0.600
Mg  0.600  0.400  0.900
Mg  0.900  0.600  0.400
Cd  0.098  0.598  0.902
Cd  0.402  0.402  0.402
Cd  0.598  0.902  0.098
Cd  0.902  0.098  0.598

***

No. 5
## Mg2Cd (GGA-PBEsol)

Data for an optimized crystal structure of Mg2Cd.

Computed properties:
Space group = P-3m1 (164)
Crystal system = trigonal
E_form = -0.038 eV/atom
DOS at the Fermi energy = 1.2 states/eV/f.u.

Lattice parameters (Å, degrees): 3.218 3.218 7.294 90.00 90.00 120.00
Sites, in units of the cell vectors:
Mg  0.333  0.667  0.325
Mg  0.667  0.333  0.675
Cd  0.000  0.000  0.000

***

No. 6
## Mg5Cd (GGA-PBEsol)

Data for an optimized crystal structure of Mg5Cd.

Computed properties:
Space group = Cm (8)
Crystal system = monoclinic
E_form = -0.043 eV/atom
DOS at the Fermi energy = 2.3 states/eV/f.u.

Lattice parameters (Å, degrees): 5.972 5.972 7.401 104.92 104.92 30.97
Sites, in units of the cell vectors:
Mg  0.000  0.000  0.000
Mg  0.049  0.049  0.612
Mg  0.388  0.388  0.278
Mg  0.669  0.669  0.343
Mg  0.723  0.723  0.940
Cd  0.330  0.330  0.667

***

No. 7
## Mg2Cd (GGA-PBEsol)

Data for an optimized crystal structure of Mg2Cd.

Computed properties:
Space group = Immm (71)
Crystal system = orthorhombic
E_form = -0.073 eV/atom
DOS at the Fermi energy = 1.1 states/eV/f.u.

Lattice parameters (Å, degrees): 5.330 5.330 5.330 141.66 136.86 59.06
Sites, in units of the cell vectors:
Mg  0.163  0.163  0.000
Mg  0.837  0.837  0.000
Cd  0.500  0.500  0.000

***

No. 8
## MgCd (GGA-PBEsol)

Data for an optimized crystal structure of MgCd.

Computed properties:
Space group = R-3m (166)
Crystal system = trigonal
E_form = -0.068 eV/atom
DOS at the Fermi energy = 0.8 states/eV/f.u.

Lattice parameters (Å, degrees): 5.103 5.103 5.103 36.79 36.79 36.79
Sites, in units of the cell vectors:
Mg  0.000  0.000  0.000
Cd  0.500  0.500  0.500

***

No. 9
## Mg2Cd (GGA-PBEsol)

Data for an optimized crystal structure of Mg2Cd.

Computed properties:
Space group = R32 (155)
Crystal system = trigonal
E_form = -0.072 eV/atom
DOS at the Fermi energy = 0.9 states/eV/f.u.

Lattice parameters (Å, degrees): 5.898 5.898 5.898 54.84 54.84 54.84
Sites, in units of the cell vectors:
Mg  0.000  0.000  0.000
Mg  0.168  0.832  0.500
Mg  0.500  0.168  0.832
Mg  0.832  0.500  0.168
Cd  0.335  0.335  0.335
Cd  0.665  0.665  0.665

***

No. 10
## Mg4Cd3 (GGA-PBEsol)

Data for an optimized crystal structure of Mg4Cd3.

Computed properties:
Space group = P6/mmm (191)
Crystal system = hexagonal
E_form = -0.036 eV/atom
DOS at the Fermi energy = 2.8 states/eV/f.u.
Energy relative to the lowest polymorph listed for this composition = 31.9 meV/atom

Lattice parameters (Å, degrees): 5.597 5.597 5.662 90.00 90.00 120.00
Sites, in units of the cell vectors:
Mg  0.000  0.000  0.245
Mg  0.000  0.000  0.755
Mg  0.333  0.667  0.000
Mg  0.667  0.333  0.000
Cd  0.000  0.500  0.500
Cd  0.500  0.000  0.500
Cd  0.500  0.500  0.500

***

No. 11
## MgCd3 (GGA-PBEsol)

Data for an optimized crystal structure of MgCd3.

Computed properties:
Space group = P-6m2 (187)
Crystal system = hexagonal
E_form = -0.036 eV/atom
DOS at the Fermi energy = 1.3 states/eV/f.u.
Energy relative to the lowest polymorph listed for this composition = 43.7 meV/atom

Lattice parameters (Å, degrees): 3.175 3.175 9.584 90.00 90.00 120.00
Sites, in units of the cell vectors:
Mg  0.000  0.000  0.000
Cd  0.000  0.000  0.500
Cd  0.333  0.667  0.249
Cd  0.333  0.667  0.751

***

No. 12
## MgCd3 (GGA-PBEsol)

Data for an optimized crystal structure of MgCd3.

Computed properties:
Space group = Pm-3n (223)
Crystal system = cubic
E_form = -0.010 eV/atom
DOS at the Fermi energy = 1.3 states/eV/f.u.
Energy relative to the lowest polymorph listed for this composition = 68.9 meV/atom

Lattice parameters (Å, degrees): 5.571 5.571 5.571 90.00 90.00 90.00
Sites, in units of the cell vectors:
Mg  0.000  0.000  0.000
Mg  0.500  0.500  0.500
Cd  0.000  0.250  0.500
Cd  0.000  0.750  0.500
Cd  0.250  0.500  0.000
Cd  0.500  0.000  0.250
Cd  0.500  0.000  0.750
Cd  0.750  0.500  0.000

***

No. 13
## MgCd (GGA-PBEsol)

Data for an optimized crystal structure of MgCd.

Computed properties:
Space group = P-6m2 (187)
Crystal system = hexagonal
E_form = -0.077 eV/atom
DOS at the Fermi energy = 0.7 states/eV/f.u.

Lattice parameters (Å, degrees): 3.186 3.186 4.788 90.00 90.00 120.00
Sites, in units of the cell vectors:
Mg  0.000  0.000  0.000
Cd  0.333  0.667  0.500

***

No. 14
## MgCd3 (GGA-PBEsol)

Data for an optimized crystal structure of MgCd3.

Computed properties:
Space group = R-3m (166)
Crystal system = trigonal
E_form = -0.035 eV/atom
DOS at the Fermi energy = 1.5 states/eV/f.u.
Energy relative to the lowest polymorph listed for this composition = 44.6 meV/atom

Lattice parameters (Å, degrees): 9.679 9.679 9.679 19.09 19.09 19.09
Sites, in units of the cell vectors:
Mg  0.000  0.000  0.000
Cd  0.250  0.250  0.250
Cd  0.500  0.500  0.500
Cd  0.750  0.750  0.750

***

No. 15
## Mg2Cd (GGA-PBEsol)

Data for an optimized crystal structure of Mg2Cd.

Computed properties:
Space group = C2/m (12)
Crystal system = monoclinic
E_form = -0.086 eV/atom
DOS at the Fermi energy = 1.0 states/eV/f.u.

Lattice parameters (Å, degrees): 5.871 5.871 7.408 106.03 106.03 31.30
Sites, in units of the cell vectors:
Mg  0.139  0.139  0.030
Mg  0.181  0.181  0.629
Mg  0.819  0.819  0.371
Mg  0.861  0.861  0.970
Cd  0.467  0.467  0.702
Cd  0.533  0.533  0.298